1.
## ZrTa2 (PBE-GGA)

Data for a geometry-optimized ZrTa2 structure.

a b c (Å): 7.8671 7.8671 7.8671
angles (deg): 90.00 90.00 90.00
Space group Fd-3m (No. 227, origin choice 2)
Unique sites:
Zr1 0.1250 0.1250 0.1250 [8 per cell]
Ta1 0.0000 0.0000 0.5000 [16 per cell]

The excess energy over the best structure of this formula in the dataset comes out at 36.6 meV per atom. The crystal system is cubic. The energy comes out at -10.679 eV per atom. The formation energy comes out at 0.07 eV per atom.

2.
## ZrTa (PBE-GGA)

Data for a geometry-optimized ZrTa structure.

a b c (Å): 6.4775 16.2239 4.7664
angles (deg): 90.00 90.00 90.00
Space group Pbcm (No. 57)
Unique sites:
Zr1 0.0653 0.1814 0.2500 [4 per cell]
Zr2 0.1957 0.6219 0.7500 [4 per cell]
Zr3 0.3436 0.1539 0.7500 [4 per cell]
Ta1 0.1354 0.5071 0.2500 [4 per cell]
Ta2 0.3954 0.6980 0.2500 [4 per cell]
Ta3 0.4182 0.0395 0.2500 [4 per cell]

The crystal system is orthorhombic. The energy comes out at -10.018 eV per atom. The formation energy comes out at 0.18 eV per atom.

3.
## ZrTa (PBE-GGA)

Data for a geometry-optimized ZrTa structure.

a b c (Å): 5.6549 4.8462 7.6252
angles (deg): 90.00 102.31 90.00
Space group Pm (No. 6)
Unique sites:
Zr1 0.0000 0.0000 0.0000 [1 per cell]
Zr2 0.0906 0.5000 0.7067 [1 per cell]
Zr3 0.1970 0.0000 0.4014 [1 per cell]
Zr4 0.4263 0.0000 0.8045 [1 per cell]
Zr5 0.6730 0.5000 0.9174 [1 per cell]
Ta1 0.2975 0.5000 0.1374 [1 per cell]
Ta2 0.5134 0.5000 0.5030 [1 per cell]
Ta3 0.5971 0.0000 0.2113 [1 per cell]
Ta4 0.7836 0.0000 0.5799 [1 per cell]
Ta5 0.8758 0.5000 0.3073 [1 per cell]

The crystal system is monoclinic. The energy comes out at -10.077 eV per atom. The formation energy comes out at 0.12 eV per atom.

4.
## ZrTa (PBE-GGA)

Data for a geometry-optimized ZrTa structure.

a b c (Å): 5.6688 4.8589 7.5634
angles (deg): 90.00 102.49 90.00
Space group Pm (No. 6)
Unique sites:
Zr1 0.0000 0.0000 0.0000 [1 per cell]
Zr2 0.1171 0.5000 0.7050 [1 per cell]
Zr3 0.2977 0.5000 0.1347 [1 per cell]
Zr4 0.4420 0.0000 0.7901 [1 per cell]
Zr5 0.6133 0.0000 0.2153 [1 per cell]
Ta1 0.2051 0.0000 0.4061 [1 per cell]
Ta2 0.5339 0.5000 0.5186 [1 per cell]
Ta3 0.7130 0.5000 0.9140 [1 per cell]
Ta4 0.8257 0.0000 0.5933 [1 per cell]
Ta5 0.9003 0.5000 0.3159 [1 per cell]

The crystal system is monoclinic. The energy comes out at -10.067 eV per atom. The formation energy comes out at 0.13 eV per atom.